Computed, not measured: a relaxed CaMgSc2 crystal at the PBE level of DFT.

```
CaMgSc2
1.0
5.850 -0.006 0.000
-2.008 5.494 0.000
0.000 0.000 3.422
Ca Mg Sc
1 1 2
direct
0.500 0.000 0.500
0.000 0.500 0.500
0.000 0.000 0.000
0.500 0.500 0.000
```

Values from the calculation:
Formation energy from the elements in eV per atom: 0.197
E in eV per atom: -3.8680

---

Computed, not measured: a relaxed Ca2Mg2Sc crystal at the PBE level of DFT.

```
Ca2Mg2Sc
1.0
8.029 0.000 0.000
0.000 8.029 0.000
0.000 0.000 4.876
Sc Ca Mg
2 4 4
direct
0.000 0.000 0.000
0.500 0.500 0.000
0.174 0.674 0.500
0.674 0.826 0.500
0.826 0.326 0.500
0.326 0.174 0.500
0.369 0.869 0.000
0.869 0.631 0.000
0.631 0.131 0.000
0.131 0.369 0.000
```

Values from the calculation:
Polymorph energy (0 for the lowest one) in kJ/mol of atoms: 0.00
Formation energy from the elements in eV per atom: 0.122
E in eV per atom: -2.5823

---

Computed, not measured: a relaxed Ca2MgSc crystal at the PBE level of DFT.

```
Ca2MgSc
1.0
-5.059 4.258 0.290
-6.029 -2.279 -1.503
5.233 -0.653 3.999
Ca Mg Sc
2 1 1
direct
0.988 0.988 0.000
0.512 0.512 0.000
0.750 0.250 0.500
0.250 0.750 0.500
```

Values from the calculation:
Formation energy from the elements in eV per atom: 0.156
E in eV per atom: -2.8262

---

Computed, not measured: a relaxed CaMgSc2 crystal at the PBE level of DFT.

```
CaMgSc2
1.0
11.229 -0.009 -0.005
10.718 3.350 -0.005
10.718 1.631 2.926
Ca Mg Sc
1 1 2
direct
0.250 0.250 0.250
0.750 0.750 0.750
0.008 0.008 0.008
0.492 0.492 0.492
```

Values from the calculation:
Formation energy from the elements in eV per atom: 0.161
E in eV per atom: -3.9036

---

Computed, not measured: a relaxed Ca4MgSc crystal at the PBE level of DFT.

```
Ca4MgSc
1.0
0.000 4.791 4.791
4.791 0.000 4.791
4.791 4.791 0.000
Ca Mg Sc
4 1 1
direct
0.876 0.375 0.375
0.375 0.375 0.876
0.375 0.876 0.375
0.375 0.375 0.375
0.750 0.750 0.750
0.000 0.000 0.000
```

Values from the calculation:
Formation energy from the elements in eV per atom: 0.408
E in eV per atom: -2.2478

---

Computed, not measured: a relaxed CaMgSc2 crystal at the PBE level of DFT.

```
CaMgSc2
1.0
11.254 0.002 0.001
10.741 3.360 0.001
10.741 1.642 2.932
Ca Mg Sc
1 1 2
direct
0.499 0.499 0.499
0.745 0.745 0.745
0.000 0.000 0.000
0.257 0.257 0.257
```

Values from the calculation:
Formation energy from the elements in eV per atom: 0.114
E in eV per atom: -3.9507